GaSb after structural relaxation. Source: Alexandria via LeMat-Bulk, functional PBE.

Output
ΔE_f (raw) = 0.07 eV per atom

Lattice parameters (Å, degrees): 9.020 11.869 11.986 90.00 90.00 90.00
Space group Fddd (No. 70, origin choice 2)
Asymmetric unit:
Ga 0.125 0.277 0.125 [16 per cell]
Sb 0.125 0.125 0.297 [16 per cell]

Ga3Sb after structural relaxation. Source: Alexandria via LeMat-Bulk, functional PBE.

Output
ΔE_f (raw) = 0.12 eV per atom

Lattice parameters (Å, degrees): 7.038 7.038 7.038 90.00 90.00 90.00
Space group Fm-3m (No. 225)
Asymmetric unit:
Ga 0.000 0.000 0.000 [4 per cell]
Ga 0.250 0.250 0.250 [8 per cell]
Sb 0.000 0.000 0.500 [4 per cell]

GaSb after structural relaxation. Source: Alexandria via LeMat-Bulk, functional PBE.

Output
ΔE_f (raw) = 0.02 eV per atom

Lattice parameters (Å, degrees): 7.913 7.975 9.014 90.00 90.00 90.00
Space group P2_12_12_1 (No. 19)
Asymmetric unit:
Ga 0.132 0.064 0.234 [4 per cell]
Ga 0.152 0.603 0.964 [4 per cell]
Sb 0.164 0.406 0.211 [4 per cell]
Sb 0.193 0.104 0.528 [4 per cell]

Ga3Sb after structural relaxation. Source: Alexandria via LeMat-Bulk, functional PBE.

Output
ΔE_f (raw) = 0.09 eV per atom

Lattice parameters (Å, degrees): 3.194 9.675 5.661 90.00 90.00 90.00
Space group Imm2 (No. 44)
Asymmetric unit:
Ga 0.000 0.000 0.000 [2 per cell]
Ga 0.000 0.269 0.671 [4 per cell]
Sb 0.000 0.500 0.040 [2 per cell]

Sc8Ga2Sb after structural relaxation. Source: Alexandria via LeMat-Bulk, functional PBE.

Output
ΔE_f (raw) = -0.33 eV per atom

Lattice parameters (Å, degrees): 8.111 12.788 5.181 90.00 109.47 90.00
Space group C2/m (No. 12)
Asymmetric unit:
Sc 0.000 0.233 0.000 [4 per cell]
Sc 0.097 0.500 0.797 [4 per cell]
Sc 0.208 0.121 0.611 [8 per cell]
Ga 0.000 0.305 0.500 [4 per cell]
Sb 0.000 0.000 0.000 [2 per cell]

Sc2GaSb after structural relaxation. Source: Alexandria via LeMat-Bulk, functional PBE.

Output
ΔE_f (raw) = -0.18 eV per atom

Lattice parameters (Å, degrees): 3.3729 3.3729 29.6368 90.00 90.00 120.00
Space group R-3m (No. 166, hexagonal axes)
Asymmetric unit:
Sc 0.0000 0.0000 0.0979 [6 per cell]
Ga 0.0000 0.0000 0.5000 [3 per cell]
Sb 0.0000 0.0000 0.0000 [3 per cell]

ScGa3Sb after structural relaxation. Source: Alexandria via LeMat-Bulk, functional PBE.

Output
ΔE_f (raw) = 0.61 eV per atom

Lattice parameters (Å, degrees): 5.234 5.234 5.234 90.00 90.00 90.00
Space group Pm-3m (No. 221)
Asymmetric unit:
Sc 0.000 0.000 0.000 [1 per cell]
Ga 0.000 0.500 0.500 [3 per cell]
Sb 0.500 0.500 0.500 [1 per cell]

ScGa2Sb after structural relaxation. Source: Alexandria via LeMat-Bulk, functional PBE.

Output
ΔE_f (raw) = -0.21 eV per atom

Lattice parameters (Å, degrees): 7.848 7.848 5.837 90.00 90.00 90.00
Space group I-42d (No. 122)
Asymmetric unit:
Sc 0.000 0.000 0.000 [4 per cell]
Ga 0.241 0.750 0.625 [8 per cell]
Sb 0.000 0.000 0.500 [4 per cell]

Sc2GaSb2 after structural relaxation. Source: Alexandria via LeMat-Bulk, functional PBE.

Output
ΔE_f (raw) = -0.53 eV per atom

Lattice parameters (Å, degrees): 7.911 7.911 3.847 90.00 90.00 90.00
Space group P4/mbm (No. 127)
Asymmetric unit:
Sc 0.151 0.349 0.000 [4 per cell]
Ga 0.000 0.000 0.500 [2 per cell]
Sb 0.151 0.651 0.500 [4 per cell]

ScGa3Sb after structural relaxation. Source: Alexandria via LeMat-Bulk, functional PBE.

Output
ΔE_f (raw) = 0.53 eV per atom

Lattice parameters (Å, degrees): 5.225 5.225 5.225 90.00 90.00 90.00
Space group Pm-3m (No. 221)
Asymmetric unit:
Sc 0.000 0.000 0.000 [1 per cell]
Ga 0.000 0.000 0.500 [3 per cell]
Sb 0.500 0.500 0.500 [1 per cell]

ScGa2Sb after structural relaxation. Source: Alexandria via LeMat-Bulk, functional PBE.

Output
ΔE_f (raw) = -0.38 eV per atom

Lattice parameters (Å, degrees): 4.418 4.418 4.214 90.00 90.00 90.00
Space group P4/mmm (No. 123)
Asymmetric unit:
Sc 0.000 0.000 0.000 [1 per cell]
Ga 0.000 0.500 0.500 [2 per cell]
Sb 0.500 0.500 0.000 [1 per cell]

Sc2Ga2Sb after structural relaxation. Source: Alexandria via LeMat-Bulk, functional PBE.

Output
ΔE_f (raw) = -0.53 eV per atom

Lattice parameters (Å, degrees): 7.176 7.176 4.030 90.00 90.00 90.00
Space group P4/mbm (No. 127)
Asymmetric unit:
Sc 0.174 0.326 0.000 [4 per cell]
Ga 0.123 0.623 0.500 [4 per cell]
Sb 0.000 0.000 0.500 [2 per cell]

Number 1: DFT total energy -3.508 eV per atom. Number 2: DFT total energy -3.184 eV per atom. Number 3: DFT total energy -3.557 eV per atom. Number 4: DFT total energy -3.208 eV per atom. Number 5: DFT total energy -5.861 eV per atom. Number 6: DFT total energy -5.137 eV per atom. Number 7: DFT total energy -3.295 eV per atom. Number 8: DFT total energy -4.334 eV per atom. Number 9: DFT total energy -5.318 eV per atom. Number 10: DFT total energy -3.380 eV per atom. Number 11: DFT total energy -4.505 eV per atom. Number 12: DFT total energy -5.094 eV per atom.